HoCu3Se: relaxed, GGA-PBE.

Properties
crystal system: cubic
space-group type: Pm-3m
size of the total moment: 0.00 μB/f.u.
total energy: -13.08 eV per cell
density: 5.83 Mg/m³

The structure in POSCAR format:
```
HoCu3Se
1.0
-3.5405 3.3559 -1.0230
-1.2560 0.1447 4.8213
3.2758 3.6825 0.7429
Cu Ho Se
3 1 1
Direct
0.5000 0.5000 0.0000
0.5000 0.0000 0.5000
0.0000 0.5000 0.5000
0.5000 0.5000 0.5000
0.0000 0.0000 0.0000
```


HoCuSnSe3: relaxed, GGA-PBE.

Properties
crystal system: monoclinic
space-group type: C2/m
size of the total moment: 0.00 μB/f.u.
total energy: -56.19 eV per cell
density: 6.61 Mg/m³

The structure in POSCAR format:
```
HoCuSnSe3
1.0
9.1400 -2.0120 0.0000
9.1400 2.0120 0.0000
-1.8545 0.0000 7.9787
Cu Ho Se Sn
2 2 6 2
Direct
0.5406 0.5406 0.2078
0.4594 0.4594 0.7922
0.1611 0.1611 0.0827
0.8388 0.8388 0.9173
0.0000 0.0000 0.0000
0.3238 0.3238 0.1523
0.6754 0.6754 0.3301
0.5000 0.5000 0.5000
0.3246 0.3246 0.6699
0.6762 0.6762 0.8477
0.8763 0.8763 0.4332
0.1237 0.1237 0.5668
```


HoCuSnTe2Se: relaxed, GGA-PBE.

Properties
crystal system: orthorhombic
space-group type: Cmcm
size of the total moment: 0.00 μB/f.u.
total energy: -53.07 eV per cell
density: 7.08 Mg/m³

The structure in POSCAR format:
```
HoCuSnTe2Se
1.0
-7.1514 -2.2702 1.1917
6.2895 -0.4216 -4.2405
3.5058 -7.9019 5.9855
Cu Ho Se Sn Te
2 2 2 2 4
Direct
0.9738 0.0262 0.2500
0.0262 0.9738 0.7500
0.5000 0.5000 0.0000
0.5000 0.5000 0.5000
0.5739 0.4261 0.2500
0.4261 0.5739 0.7500
0.2461 0.7539 0.2500
0.7539 0.2461 0.7500
0.8508 0.1492 0.0619
0.8508 0.1492 0.4381
0.1492 0.8508 0.5619
0.1492 0.8508 0.9381
```


SrHoCuSe3: relaxed, GGA-PBE.

Properties
crystal system: monoclinic
space-group type: P2_1/m
size of the total moment: 0.00 μB/f.u.
total energy: -59.40 eV per cell
density: 6.03 Mg/m³

The structure in POSCAR format:
```
SrHoCuSe3
1.0
8.4220 0.0000 0.0000
0.0000 4.0735 0.0000
-2.3358 0.0000 8.8700
Cu Ho Se Sr
2 2 6 2
Direct
0.0805 0.2500 0.0857
0.9195 0.7500 0.9143
0.3207 0.7500 0.3360
0.6793 0.2500 0.6640
0.2286 0.7500 0.0195
0.5600 0.2500 0.3378
0.0947 0.2500 0.3623
0.9053 0.7500 0.6377
0.4400 0.7500 0.6622
0.7714 0.2500 0.9805
0.8027 0.7500 0.2512
0.1973 0.2500 0.7488
```


SrHoCuSe3: relaxed, GGA-PBE.

Properties
crystal system: monoclinic
space-group type: C2/m
size of the total moment: 0.00 μB/f.u.
total energy: -58.51 eV per cell
density: 6.11 Mg/m³

The structure in POSCAR format:
```
SrHoCuSe3
1.0
9.0854 -2.0460 0.0000
9.0854 2.0460 0.0000
-1.8193 0.0000 8.0883
Cu Ho Se Sr
2 2 6 2
Direct
0.5382 0.5382 0.2091
0.4618 0.4618 0.7909
0.1628 0.1628 0.0841
0.8372 0.8372 0.9159
0.0000 0.0000 0.0000
0.3253 0.3253 0.1448
0.6755 0.6755 0.3246
0.5000 0.5000 0.5000
0.3245 0.3245 0.6754
0.6747 0.6747 0.8552
0.8727 0.8727 0.4297
0.1273 0.1273 0.5703
```


SrHoCuTeSe2: relaxed, GGA-PBE.

Properties
crystal system: orthorhombic
space-group type: Cmcm
size of the total moment: 0.00 μB/f.u.
total energy: -57.23 eV per cell
density: 6.19 Mg/m³

The structure in POSCAR format:
```
SrHoCuTeSe2
1.0
2.0559 -7.1335 0.0000
2.0559 7.1335 0.0000
0.0000 0.0000 10.9993
Cu Ho Se Sr Te
2 2 4 2 2
Direct
0.9732 0.0268 0.2500
0.0268 0.9732 0.7500
0.5000 0.5000 0.0000
0.5000 0.5000 0.5000
0.8700 0.1300 0.0695
0.8700 0.1300 0.4305
0.1300 0.8700 0.5695
0.1300 0.8700 0.9305
0.2761 0.7239 0.2500
0.7239 0.2761 0.7500
0.5912 0.4088 0.2500
0.4088 0.5912 0.7500
```


YHo2Tm3CuSe2: relaxed, GGA-PBE.

Properties
crystal system: orthorhombic
space-group type: Amm2
size of the total moment: 1.84 μB/f.u.
total energy: -46.17 eV per cell
density: 8.76 Mg/m³

The structure in POSCAR format:
```
YHo2Tm3CuSe2
1.0
-0.4472 -1.1884 3.6236
8.0007 0.2828 1.0801
-4.5021 6.5181 1.5822
Cu Ho Se Tm Y
1 2 2 3 1
Direct
0.0000 0.0002 0.0002
0.0000 0.4093 0.0000
0.0000 0.0000 0.4093
0.5000 0.6665 0.3332
0.5000 0.3332 0.6665
0.5000 0.7527 0.0010
0.5000 0.2464 0.2464
0.5000 0.0010 0.7527
0.0000 0.5908 0.5908
```


HoZnCuSe3: relaxed, GGA-PBE.

Properties
crystal system: orthorhombic
space-group type: Cmcm
size of the total moment: 0.00 μB/f.u.
total energy: -50.01 eV per cell
density: 6.85 Mg/m³

The structure in POSCAR format:
```
HoZnCuSe3
1.0
1.9043 -6.3799 0.0000
1.9043 6.3799 0.0000
0.0000 0.0000 10.5963
Cu Ho Se Zn
2 2 6 2
Direct
0.5181 0.4819 0.2500
0.4819 0.5181 0.7500
0.0000 0.0000 0.0000
0.0000 0.0000 0.5000
0.6491 0.3509 0.0819
0.8922 0.1078 0.2500
0.6491 0.3509 0.4181
0.3509 0.6491 0.5819
0.1078 0.8922 0.7500
0.3509 0.6491 0.9181
0.2260 0.7740 0.2500
0.7740 0.2260 0.7500
```


Copy entry 8 word for word.
HoZnCuSe3: relaxed, GGA-PBE.

Properties
crystal system: orthorhombic
space-group type: Cmcm
size of the total moment: 0.00 μB/f.u.
total energy: -50.01 eV per cell
density: 6.85 Mg/m³

The structure in POSCAR format:
```
HoZnCuSe3
1.0
1.9043 -6.3799 0.0000
1.9043 6.3799 0.0000
0.0000 0.0000 10.5963
Cu Ho Se Zn
2 2 6 2
Direct
0.5181 0.4819 0.2500
0.4819 0.5181 0.7500
0.0000 0.0000 0.0000
0.0000 0.0000 0.5000
0.6491 0.3509 0.0819
0.8922 0.1078 0.2500
0.6491 0.3509 0.4181
0.3509 0.6491 0.5819
0.1078 0.8922 0.7500
0.3509 0.6491 0.9181
0.2260 0.7740 0.2500
0.7740 0.2260 0.7500
```


Q: Number 8 is which compound?
A: HoZnCuSe3